# 1
# CeHg2Ge

CeHg2Ge after structural relaxation (GGA-PBE, the Alexandria database).

It has space group P4/mmm (No. 123), with a = 4.355 Å, b = 4.355 Å, c = 5.081 Å, α = 90.00°, β = 90.00° and γ = 90.00°. The inequivalent atoms are Ce at (0.000, 0.000, 0.000), Hg at (0.000, 0.500, 0.500) and Ge at (0.500, 0.500, 0.000).

For the formation energy, the calculation gives -0.36 eV per atom. As for the energy above the most stable polymorph in this dataset: 0.000 eV/atom. As for the total DFT energy (no corrections): -3.149 eV/atom. The total moment is 0.550 μB/f.u.

# 2
# Li2La2SmBi2

Li2La2SmBi2 after structural relaxation (GGA-PBE, the Alexandria database).

It has space group R-3m (No. 166, hexagonal axes), with a = 4.9111 Å, b = 4.9111 Å, c = 28.2122 Å, α = 90.00°, β = 90.00° and γ = 120.00°. The inequivalent atoms are Li at (0.0000, 0.0000, 0.0957), La at (0.0000, 0.0000, 0.3685), Sm at (0.0000, 0.0000, 0.5000) and Bi at (0.0000, 0.0000, 0.2321).

For the formation energy, the calculation gives -0.48 eV per atom. As for the total DFT energy (no corrections): -4.219 eV/atom. The total moment is 0.003 μB/f.u.

# 3
# HfAg2I

HfAg2I after structural relaxation (GGA-PBE, the Alexandria database).

It has space group Fm-3m (No. 225), with a = 7.149 Å, b = 7.149 Å, c = 7.149 Å, α = 90.00°, β = 90.00° and γ = 90.00°. The inequivalent atoms are Hf at (0.000, 0.000, 0.000), Ag at (0.250, 0.250, 0.250) and I at (0.000, 0.000, 0.500).

As for the energy above the most stable polymorph in this dataset: 0.741 eV/atom. As for the total DFT energy (no corrections): -3.629 eV/atom. The formation energy (no corrections) comes out at 0.672 eV/atom. The total moment is 0.000 μB/f.u.

# 4
# ZrSc2Se

ZrSc2Se after structural relaxation (GGA-PBE, the Alexandria database).

It has space group Pmmm (No. 47), with a = 3.395 Å, b = 4.982 Å, c = 5.008 Å, α = 90.00°, β = 90.00° and γ = 90.00°. The inequivalent atoms are Zr at (0.000, 0.000, 0.000), Sc at (0.000, 0.500, 0.500), Sc at (0.500, 0.500, 0.000) and Se at (0.500, 0.000, 0.500).

As for the total DFT energy (no corrections): -6.521 eV/atom. The formation energy (no corrections) comes out at -0.347 eV/atom. The total moment is 0.000 μB/f.u.

# 5
# K2Sm2PuO6

K2Sm2PuO6 after structural relaxation (GGA-PBE, the Alexandria database).

It has space group C2/m (No. 12), with a = 6.156 Å, b = 10.629 Å, c = 6.684 Å, α = 90.00°, β = 107.24° and γ = 90.00°. The inequivalent atoms are K at (0.000, 0.166, 0.000), Sm at (0.000, 0.334, 0.500), Pu at (0.000, 0.000, 0.500), O at (0.213, 0.164, 0.675) and O at (0.248, 0.500, 0.675).

As for the total DFT energy (no corrections): -7.819 eV/atom. The formation energy (no corrections) comes out at -2.754 eV/atom. The total moment is 4.000 μB/f.u.

# 6
# La7Nd2Tm

La7Nd2Tm after structural relaxation (GGA-PBE, the Alexandria database).

It has space group Cmmm (No. 65), with a = 8.989 Å, b = 16.375 Å, c = 5.616 Å, α = 90.00°, β = 90.00° and γ = 90.00°. The inequivalent atoms are La at (0.000, 0.000, 0.000), La at (0.000, 0.261, 0.500), La at (0.186, 0.387, 0.000), Nd at (0.000, 0.201, 0.000) and Tm at (0.000, 0.500, 0.500).

For the formation energy, the calculation gives 0.56 eV per atom. As for the energy above the most stable polymorph in this dataset: 0.411 eV/atom. As for the total DFT energy (no corrections): -4.295 eV/atom. The total moment is 0.039 μB/f.u.

# 7
# NbSb2C

NbSb2C after structural relaxation (GGA-PBE, the Alexandria database).

It has space group I-42d (No. 122), with a = 6.329 Å, b = 6.329 Å, c = 8.348 Å, α = 90.00°, β = 90.00° and γ = 90.00°. The inequivalent atoms are Nb at (0.000, 0.000, 0.000), Sb at (0.173, 0.250, 0.625) and C at (0.000, 0.000, 0.500).

As for the total DFT energy (no corrections): -5.895 eV/atom. The formation energy (no corrections) comes out at 0.989 eV/atom. The total moment is 0.708 μB/f.u.

# 8
# Te2AsW

Te2AsW after structural relaxation (GGA-PBE, the Alexandria database).

It has space group Cmmm (No. 65), with a = 3.340 Å, b = 5.218 Å, c = 10.379 Å, α = 90.00°, β = 90.00° and γ = 90.00°. The inequivalent atoms are Te at (0.000, 0.000, 0.217), As at (0.000, 0.500, 0.500) and W at (0.000, 0.500, 0.000).

As for the total DFT energy (no corrections): -5.255 eV/atom. The formation energy (no corrections) comes out at 0.717 eV/atom. The total moment is 0.000 μB/f.u.

# 9
# SmCu5Pd2

SmCu5Pd2 after structural relaxation (GGA-PBE, the Alexandria database).

It has space group Immm (No. 71), with a = 3.876 Å, b = 7.211 Å, c = 9.309 Å, α = 90.00°, β = 90.00° and γ = 90.00°. The inequivalent atoms are Sm at (0.000, 0.000, 0.000), Cu at (0.000, 0.174, 0.365), Cu at (0.000, 0.500, 0.000) and Pd at (0.000, 0.500, 0.270).

For the formation energy, the calculation gives -0.14 eV per atom. As for the total DFT energy (no corrections): -4.586 eV/atom. The total moment is 0.000 μB/f.u.

# 10
# Y2ThTl2Ag2

Y2ThTl2Ag2 after structural relaxation (GGA-PBE, the Alexandria database).

It has space group R-3m (No. 166, hexagonal axes), with a = 4.9217 Å, b = 4.9217 Å, c = 25.9717 Å, α = 90.00°, β = 90.00° and γ = 120.00°. The inequivalent atoms are Y at (0.0000, 0.0000, 0.1339), Th at (0.0000, 0.0000, 0.0000), Tl at (0.0000, 0.0000, 0.2660) and Ag at (0.0000, 0.0000, 0.4364).

For the formation energy, the calculation gives -0.13 eV per atom. As for the total DFT energy (no corrections): -4.528 eV/atom. The total moment is 0.000 μB/f.u.

# 11
# Y4FeBr5

Y4FeBr5 after structural relaxation (GGA-PBE, the Alexandria database).

It has space group C2/m (No. 12), with a = 18.025 Å, b = 3.885 Å, c = 8.880 Å, α = 90.00°, β = 104.06° and γ = 90.00°. The inequivalent atoms are Y at (0.000, 0.000, 0.227), Y at (0.138, 0.500, 0.073), Fe at (0.000, 0.500, 0.000), Br at (0.000, 0.500, 0.500), Br at (0.168, 0.000, 0.326) and Br at (0.173, 0.000, 0.846).

As for the total DFT energy (no corrections): -5.540 eV/atom. The formation energy (no corrections) comes out at -1.272 eV/atom. The total moment is 0.351 μB/f.u.

# 12
# Zn2RhBr

Zn2RhBr after structural relaxation (GGA-PBE, the Alexandria database).

It has space group C2/m (No. 12), with a = 5.867 Å, b = 3.405 Å, c = 7.674 Å, α = 90.00°, β = 103.45° and γ = 90.00°. The inequivalent atoms are Zn at (0.233, 0.000, 0.220), Rh at (0.000, 0.500, 0.000) and Br at (0.000, 0.000, 0.500).

As for the energy above the most stable polymorph in this dataset: 0.147 eV/atom. As for the total DFT energy (no corrections): -2.957 eV/atom. The formation energy (no corrections) comes out at -0.064 eV/atom. The total moment is 0.000 μB/f.u.

# 13
# CsIn2Hg4

CsIn2Hg4 after structural relaxation (GGA-PBE, the Alexandria database).

It has space group Cmmm (No. 65), with a = 5.515 Å, b = 14.898 Å, c = 5.538 Å, α = 90.00°, β = 90.00° and γ = 90.00°. The inequivalent atoms are Cs at (0.000, 0.000, 0.000), In at (0.000, 0.397, 0.500), Hg at (0.000, 0.178, 0.500) and Hg at (0.000, 0.307, 0.000).

For the formation energy, the calculation gives -0.12 eV per atom. As for the total DFT energy (no corrections): -1.200 eV/atom. The total moment is 0.000 μB/f.u.

# 14
# LaAl2Os

LaAl2Os after structural relaxation (GGA-PBE, the Alexandria database).

It has space group Imm2 (No. 44), with a = 3.085 Å, b = 4.187 Å, c = 13.186 Å, α = 90.00°, β = 90.00° and γ = 90.00°. The inequivalent atoms are La at (0.000, 0.000, 0.000), Al at (0.000, 0.000, 0.352), Al at (0.000, 0.500, 0.206) and Os at (0.000, 0.500, 0.702).

For the formation energy, the calculation gives -0.20 eV per atom. As for the total DFT energy (no corrections): -6.110 eV/atom. The total moment is 0.000 μB/f.u.

# 15
# SrCrSe3

SrCrSe3 after structural relaxation (GGA-PBE, the Alexandria database).

It has space group Pm-3m (No. 221), with a = 5.778 Å, b = 5.778 Å, c = 5.778 Å, α = 90.00°, β = 90.00° and γ = 90.00°. The inequivalent atoms are Sr at (0.000, 0.000, 0.000), Cr at (0.500, 0.500, 0.500) and Se at (0.000, 0.000, 0.500).

As for the energy above the most stable polymorph in this dataset: 1.235 eV/atom. As for the total DFT energy (no corrections): -3.928 eV/atom. The formation energy (no corrections) comes out at 0.424 eV/atom. The total moment is 2.000 μB/f.u.

# 16
# Pm2SmNpS4

Pm2SmNpS4 after structural relaxation (GGA-PBE, the Alexandria database).

It has space group P2/m (No. 10), with a = 6.926 Å, b = 3.991 Å, c = 6.932 Å, α = 90.00°, β = 109.34° and γ = 90.00°. The inequivalent atoms are Pm at (0.000, 0.000, 0.000), Pm at (0.500, 0.500, 0.000), Sm at (0.000, 0.500, 0.500), Np at (0.500, 0.000, 0.500), S at (0.252, 0.000, 0.745) and S at (0.257, 0.500, 0.258).

As for the total DFT energy (no corrections): -7.324 eV/atom. The formation energy (no corrections) comes out at -1.865 eV/atom. The total moment is 4.456 μB/f.u.

# 17
# Sn2H3Br8

Sn2H3Br8 after structural relaxation (GGA-PBE, the Alexandria database).

It has space group C2/c (No. 15), with a = 17.781 Å, b = 6.903 Å, c = 16.356 Å, α = 90.00°, β = 111.96° and γ = 90.00°. The inequivalent atoms are Sn at (0.233, 0.159, 0.370), H at (0.000, 0.008, 0.250), H at (0.139, 0.059, 0.131), Br at (0.080, 0.011, 0.849), Br at (0.102, 0.130, 0.592), Br at (0.191, 0.333, 0.199) and Br at (0.197, 0.484, 0.450).

As for the total DFT energy (no corrections): -2.858 eV/atom. The total moment is 0.000 μB/f.u.

# 18
# Ce3BeNi2Ge6

Ce3BeNi2Ge6 after structural relaxation (GGA-PBE, the Alexandria database).

It has space group P-3m1 (No. 164), with a = 5.9524 Å, b = 5.9524 Å, c = 7.6759 Å, α = 90.00°, β = 90.00° and γ = 120.00°. The inequivalent atoms are Ce at (0.0000, 0.0000, 0.0000), Ce at (0.3333, 0.6667, 0.6544), Be at (0.0000, 0.0000, 0.5000), Ni at (0.3333, 0.6667, 0.0512) and Ge at (0.1843, 0.3686, 0.3000).

For the formation energy, the calculation gives -0.23 eV per atom. As for the total DFT energy (no corrections): -5.295 eV/atom. The total moment is 1.133 μB/f.u.

# 19
# SrTeI2Cl

SrTeI2Cl after structural relaxation (GGA-PBE, the Alexandria database).

It has space group P4/mmm (No. 123), with a = 6.326 Å, b = 6.326 Å, c = 6.807 Å, α = 90.00°, β = 90.00° and γ = 90.00°. The inequivalent atoms are Sr at (0.000, 0.000, 0.000), Te at (0.000, 0.000, 0.500), I at (0.000, 0.500, 0.000) and Cl at (0.500, 0.500, 0.500).

As for the energy above the most stable polymorph in this dataset: 0.045 eV/atom. As for the total DFT energy (no corrections): -2.292 eV/atom. The formation energy (no corrections) comes out at -0.338 eV/atom. The total moment is 3.040 μB/f.u.

# 20
# MnCo2Sb

MnCo2Sb after structural relaxation (GGA-PBE, the Alexandria database).

It has space group Pmm2 (No. 25), with a = 3.098 Å, b = 4.308 Å, c = 4.190 Å, α = 90.00°, β = 90.00° and γ = 90.00°. The inequivalent atoms are Mn at (0.000, 0.000, 0.000), Co at (0.000, 0.500, 0.321), Co at (0.500, 0.000, 0.477) and Sb at (0.500, 0.500, 0.826).

As for the total DFT energy (no corrections): -6.714 eV/atom. The formation energy (no corrections) comes out at 0.162 eV/atom. The total moment is 5.226 μB/f.u.